[1]
A relaxed Ba2DyTe3O12 crystal. Source: the Alexandria database, functional GGA-PBE.

Properties
N(E_F)   1.559 states/eV/f.u.
Magnetization   0.0 μB per formula unit
Formation energy without anion corrections   -1781 meV per atom

CIF file:
```
data_Ba2DyTe3O12
_space_group_name_H-M_alt 'R -3 m'
_space_group_IT_number 166
_space_group_name_Hall '-R 3 2"'
_cell_length_a 7.4875
_cell_length_b 7.4875
_cell_length_c 17.7995
_cell_angle_alpha 90.00
_cell_angle_beta 90.00
_cell_angle_gamma 120.00
loop_
_atom_site_label
_atom_site_fract_x
_atom_site_fract_y
_atom_site_fract_z
Ba1 0.0000 0.0000 0.1307
Dy1 0.0000 0.0000 0.5000
Te1 0.0000 0.5000 0.0000
O1 0.0126 0.5063 0.1094
O2 0.0650 0.5325 0.3368
```

***

[2]
A relaxed BaDyTe2O8 crystal. Source: the Alexandria database, functional GGA-PBE.

Properties
N(E_F)   3.728 states/eV/f.u.
Magnetization   0.0 μB per formula unit
Formation energy without anion corrections   -1755 meV per atom

CIF file:
```
data_BaDyTe2O8
_space_group_name_H-M_alt 'P -3'
_space_group_IT_number 147
_cell_length_a 6.0656
_cell_length_b 6.0656
_cell_length_c 7.7105
_cell_angle_alpha 90.00
_cell_angle_beta 90.00
_cell_angle_gamma 120.00
loop_
_space_group_symop_operation_xyz
'x,y,z'
'-x,-y,-z'
'-y,x-y,z'
'y,-x+y,-z'
'-x+y,-x,z'
'x-y,x,-z'
loop_
_atom_site_label
_atom_site_fract_x
_atom_site_fract_y
_atom_site_fract_z
Ba1 0.0000 0.0000 0.0000
Dy1 0.0000 0.0000 0.5000
Te1 0.3333 0.6667 0.7615
O1 0.1575 0.3180 0.6961
O2 0.3333 0.6667 0.0003
```

***

[3]
A relaxed Ba4DyTl3O12 crystal. Source: the Alexandria database, functional GGA-PBE.

Properties
N(E_F)   14.310 states/eV/f.u.
Magnetization   0.0 μB per formula unit
Formation energy without anion corrections   -1640 meV per atom

CIF file:
```
data_Ba4DyTl3O12
_space_group_name_H-M_alt 'I m -3 m'
_space_group_IT_number 229
_space_group_name_Hall '-I 4 2 3'
_cell_length_a 8.7193
_cell_length_b 8.7193
_cell_length_c 8.7193
_cell_angle_alpha 90.00
_cell_angle_beta 90.00
_cell_angle_gamma 90.00
loop_
_atom_site_label
_atom_site_fract_x
_atom_site_fract_y
_atom_site_fract_z
Ba1 0.2500 0.2500 0.2500
Dy1 0.0000 0.0000 0.0000
Tl1 0.0000 0.0000 0.5000
O1 0.0000 0.0000 0.2527
O2 0.0000 0.2500 0.5000
```

***

[4]
A relaxed Ba2DyTl2O6 crystal. Source: the Alexandria database, functional GGA-PBE.

Properties
N(E_F)   3.707 states/eV/f.u.
Magnetization   0.0 μB per formula unit
Formation energy without anion corrections   -1820 meV per atom

CIF file:
```
data_Ba2DyTl2O6
_space_group_name_H-M_alt 'R -3 m'
_space_group_IT_number 166
_space_group_name_Hall '-R 3 2"'
_cell_length_a 6.5179
_cell_length_b 6.5179
_cell_length_c 18.2357
_cell_angle_alpha 90.00
_cell_angle_beta 90.00
_cell_angle_gamma 120.00
loop_
_atom_site_label
_atom_site_fract_x
_atom_site_fract_y
_atom_site_fract_z
Ba1 0.0000 0.0000 0.1995
Dy1 0.0000 0.0000 0.0000
Tl1 0.0000 0.0000 0.3994
O1 0.0402 0.5201 0.7536
```

***

[5]
A relaxed Ba2Dy3TmO8 crystal. Source: the Alexandria database, functional GGA-PBE.

Properties
N(E_F)   0.000 states/eV/f.u.
Magnetization   0.0 μB per formula unit
Formation energy without anion corrections   -3163 meV per atom

CIF file:
```
data_Ba2Dy3TmO8
_space_group_name_H-M_alt 'R 3 m'
_space_group_IT_number 160
_space_group_name_Hall 'R 3 -2"'
_cell_length_a 6.9952
_cell_length_b 6.9952
_cell_length_c 17.9864
_cell_angle_alpha 90.00
_cell_angle_beta 90.00
_cell_angle_gamma 120.00
loop_
_atom_site_label
_atom_site_fract_x
_atom_site_fract_y
_atom_site_fract_z
Ba1 0.0000 0.0000 0.0000
Ba2 0.0000 0.0000 0.3791
Dy1 0.0083 0.5042 0.8781
Tm1 0.0000 0.0000 0.7601
O1 0.0000 0.0000 0.1471
O2 0.0000 0.0000 0.6236
O3 0.1699 0.3399 0.4726
O4 0.1872 0.3745 0.9415
```

***

[6]
A relaxed Ba2DyU3O12 crystal. Source: the Alexandria database, functional GGA-PBE.

Properties
N(E_F)   8.635 states/eV/f.u.
Magnetization   1.0 μB per formula unit
Formation energy without anion corrections   -3156 meV per atom

CIF file:
```
data_Ba2DyU3O12
_space_group_name_H-M_alt 'R -3 m'
_space_group_IT_number 166
_space_group_name_Hall '-R 3 2"'
_cell_length_a 8.1450
_cell_length_b 8.1450
_cell_length_c 19.0659
_cell_angle_alpha 90.00
_cell_angle_beta 90.00
_cell_angle_gamma 120.00
loop_
_atom_site_label
_atom_site_fract_x
_atom_site_fract_y
_atom_site_fract_z
Ba1 0.0000 0.0000 0.1886
Dy1 0.0000 0.0000 0.5000
U1 0.0000 0.5000 0.0000
O1 0.0583 0.5292 0.1037
O2 0.0977 0.5489 0.3615
```